Entry 1:
A relaxed structure of RbGaNi2. Source: Alexandria via LeMat-Bulk, functional PBE.

Cell lengths 4.9481, 4.9481, 16.0686 Å; angles 90.00, 90.00, 90.00 degrees
With the nearest neighbours (Å) after each atom.
Space group I4_1/amd (No. 141, origin choice 2)
Symmetry-distinct sites (fractional):
Rb: 0.0000 0.2500 0.3750 (multiplicity 4)  8 Ni 3.42, 4 Ga 3.50
Ga: 0.0000 0.2500 0.8750 (multiplicity 4)  4 Ni 2.36
Ni: 0.0000 0.0000 0.0000 (multiplicity 8)  2 Ga 2.36, 2 Ni 2.47

Calculated values
The formation enthalpy at 0 K is 0.352 eV/atom. The energy is -14.2 eV per formula unit.

Entry 2:
A relaxed structure of Rb2Ga2Ni. Source: Alexandria via LeMat-Bulk, functional PBE.

Cell lengths 3.8323, 3.8323, 22.1946 Å; angles 90.00, 90.00, 90.00 degrees
With the nearest neighbours (Å) after each atom.
Space group I4/mmm (No. 139)
Symmetry-distinct sites (fractional):
Rb: 0.0000 0.0000 0.0961 (multiplicity 4)  4 Ni 3.45, 4 Rb 3.83
Ga: 0.0000 0.5000 0.2500 (multiplicity 4)  4 Ga 2.71
Ni: 0.0000 0.0000 0.5000 (multiplicity 2)  8 Rb 3.45, 4 Ni 3.83

Calculated values
The formation enthalpy at 0 K is 0.460 eV/atom. For the energy above the lowest structure with this stoichiometry, the calculation gives 1.36 eV/f.u. The energy is -11.5 eV per formula unit.

Entry 3:
A relaxed structure of Rb2Ga2Ni. Source: Alexandria via LeMat-Bulk, functional PBE.

Cell lengths 6.7410, 6.7410, 6.3377 Å; angles 90.00, 90.00, 90.00 degrees
With the nearest neighbours (Å) after each atom.
Space group P4/mbm (No. 127)
Symmetry-distinct sites (fractional):
Rb: 0.1741 0.3259 0.0000 (multiplicity 4)  5 Rb 3.32-3.52, 2 Ga 3.35
Ga: 0.2127 0.7127 0.5000 (multiplicity 4)  2 Ni 2.41
Ni: 0.0000 0.0000 0.5000 (multiplicity 2)  4 Ga 2.41

Calculated values
The formation enthalpy at 0 K is 0.187 eV/atom. For the energy above the lowest structure with this stoichiometry, the calculation gives 0.00 eV/f.u. The energy is -12.8 eV per formula unit.

Entry 4:
A relaxed structure of RbGa2Ni. Source: Alexandria via LeMat-Bulk, functional PBE.

Cell lengths 7.0461, 7.0461, 7.0461 Å; angles 90.00, 90.00, 90.00 degrees
With the nearest neighbours (Å) after each atom.
Space group Fm-3m (No. 225)
Symmetry-distinct sites (fractional):
Rb: 0.0000 0.0000 0.0000 (multiplicity 4)  8 Ga 3.05
Ga: 0.2500 0.2500 0.2500 (multiplicity 8)  4 Rb 3.05, 4 Ni 3.05
Ni: 0.0000 0.0000 0.5000 (multiplicity 4)  8 Ga 3.05

Calculated values
The formation enthalpy at 0 K is 0.562 eV/atom. The energy is -10.6 eV per formula unit.

Entry 5:
A relaxed structure of RbGa2Ni. Source: Alexandria via LeMat-Bulk, functional PBE.

Cell lengths 4.2088, 4.2088, 19.5537 Å; angles 90.00, 90.00, 120.00 degrees
With the nearest neighbours (Å) after each atom.
Space group R-3m (No. 166, hexagonal axes)
Symmetry-distinct sites (fractional):
Rb: 0.0000 0.0000 0.0000 (multiplicity 3)  8 Ga 3.70-3.73, 6 Ni 4.07
Ga: 0.0000 0.0000 0.1907 (multiplicity 6)  3 Ni 2.48, 3 Ga 2.61
Ni: 0.0000 0.0000 0.5000 (multiplicity 3)  6 Ga 2.48

Calculated values
The formation enthalpy at 0 K is -0.160 eV/atom. The energy is -13.4 eV per formula unit.

Entry 6:
A relaxed structure of RbGa3Ni. Source: Alexandria via LeMat-Bulk, functional PBE.

Cell lengths 4.8174, 4.8174, 4.8174 Å; angles 90.00, 90.00, 90.00 degrees
With the nearest neighbours (Å) after each atom.
Space group Pm-3m (No. 221)
Symmetry-distinct sites (fractional):
Rb: 0.0000 0.0000 0.0000 (multiplicity 1)  12 Ga 3.41
Ga: 0.0000 0.5000 0.5000 (multiplicity 3)  2 Ni 2.41
Ni: 0.5000 0.5000 0.5000 (multiplicity 1)  6 Ga 2.41

Calculated values
The formation enthalpy at 0 K is -0.035 eV/atom. For the energy above the lowest structure with this stoichiometry, the calculation gives 0.00 eV/f.u. The energy is -16.0 eV per formula unit.

Entry 7:
A relaxed structure of RbGa3Ni. Source: Alexandria via LeMat-Bulk, functional PBE.

Cell lengths 5.8255, 5.8255, 5.8255 Å; angles 90.00, 90.00, 90.00 degrees
With the nearest neighbours (Å) after each atom.
Space group Pm-3m (No. 221)
Symmetry-distinct sites (fractional):
Rb: 0.0000 0.0000 0.0000 (multiplicity 1)  6 Ga 2.91
Ga: 0.0000 0.0000 0.5000 (multiplicity 3)  2 Rb 2.91
Ni: 0.5000 0.5000 0.5000 (multiplicity 1)  12 Ga 4.12

Calculated values
The formation enthalpy at 0 K is 1.723 eV/atom. For the energy above the lowest structure with this stoichiometry, the calculation gives 8.79 eV/f.u. The energy is -7.2 eV per formula unit.

Entry 8:
A relaxed structure of RbGa2Ni. Source: Alexandria via LeMat-Bulk, functional PBE.

Cell lengths 6.2195, 6.2195, 13.0111 Å; angles 90.00, 90.00, 90.00 degrees
With the nearest neighbours (Å) after each atom.
Space group I4_1/amd (No. 141, origin choice 2)
Symmetry-distinct sites (fractional):
Rb: 0.0000 0.2500 0.3750 (multiplicity 4)  8 Ga 3.84
Ga: 0.0000 0.0000 0.0000 (multiplicity 8)  2 Ni 2.25
Ni: 0.0000 0.2500 0.8750 (multiplicity 4)  4 Ga 2.25

Calculated values
The formation enthalpy at 0 K is -0.029 eV/atom. The energy is -12.9 eV per formula unit.

Entry 9:
A relaxed structure of RbGaNiSe2. Source: Alexandria via LeMat-Bulk, functional PBE.

Cell lengths 5.9862, 5.9862, 5.6966 Å; angles 90.00, 90.00, 90.00 degrees
With the nearest neighbours (Å) after each atom.
Space group P4/mmm (No. 123)
Symmetry-distinct sites (fractional):
Rb: 0.0000 0.0000 0.0000 (multiplicity 1)  2 Ga 2.85, 4 Se 2.99
Ga: 0.0000 0.0000 0.5000 (multiplicity 1)  2 Rb 2.85
Ni: 0.5000 0.5000 0.5000 (multiplicity 1)  8 Se 4.13, 4 Ga 4.23
Se: 0.0000 0.5000 0.0000 (multiplicity 2)  2 Rb 2.99

Calculated values
The energy is -9.8 eV per formula unit.

Entry 10:
A relaxed structure of RbGa2SiNi. Source: Alexandria via LeMat-Bulk, functional PBE.

Cell lengths 5.1671, 5.1671, 4.5242 Å; angles 90.00, 90.00, 90.00 degrees
With the nearest neighbours (Å) after each atom.
Space group P4/mmm (No. 123)
Symmetry-distinct sites (fractional):
Rb: 0.0000 0.0000 0.0000 (multiplicity 1)  8 Ga 3.43, 4 Ni 3.65
Ga: 0.0000 0.5000 0.5000 (multiplicity 2)  2 Si 2.58
Si: 0.5000 0.5000 0.5000 (multiplicity 1)  2 Ni 2.26
Ni: 0.5000 0.5000 0.0000 (multiplicity 1)  2 Si 2.26

Calculated values
The energy is -16.7 eV per formula unit.

Entry 11:
A relaxed structure of RbSr2GaNi. Source: Alexandria via LeMat-Bulk, functional PBE.

Cell lengths 5.9610, 5.9610, 4.8453 Å; angles 90.00, 90.00, 90.00 degrees
With the nearest neighbours (Å) after each atom.
Space group P4/mmm (No. 123)
Symmetry-distinct sites (fractional):
Rb: 0.0000 0.0000 0.0000 (multiplicity 1)  8 Sr 3.84, 4 Ga 4.22
Sr: 0.0000 0.5000 0.5000 (multiplicity 2)  2 Ni 2.98
Ga: 0.5000 0.5000 0.0000 (multiplicity 1)  2 Ni 2.42
Ni: 0.5000 0.5000 0.5000 (multiplicity 1)  2 Ga 2.42

Calculated values
The formation enthalpy at 0 K is 0.010 eV/atom. The energy is -13.1 eV per formula unit.

Entry 12:
A relaxed structure of RbTi2GaNi. Source: Alexandria via LeMat-Bulk, functional PBE.

Cell lengths 4.7605, 4.7605, 4.5136 Å; angles 90.00, 90.00, 90.00 degrees
With the nearest neighbours (Å) after each atom.
Space group P4/mmm (No. 123)
Symmetry-distinct sites (fractional):
Rb: 0.0000 0.0000 0.0000 (multiplicity 1)  2 Ni 2.26, 4 Ti 2.38
Ti: 0.0000 0.5000 0.0000 (multiplicity 2)  2 Rb 2.38
Ga: 0.5000 0.5000 0.5000 (multiplicity 1)  8 Ti 3.28, 4 Ni 3.37
Ni: 0.0000 0.0000 0.5000 (multiplicity 1)  2 Rb 2.26

Calculated values
The formation enthalpy at 0 K is 2.004 eV/atom. For the energy above the lowest structure with this stoichiometry, the calculation gives 7.04 eV/f.u. The energy is -15.5 eV per formula unit.

Entry 13:
A relaxed structure of RbTi2GaNi. Source: Alexandria via LeMat-Bulk, functional PBE.

Cell lengths 4.8795, 4.8795, 4.7090 Å; angles 90.00, 90.00, 90.00 degrees
With the nearest neighbours (Å) after each atom.
Space group P4/mmm (No. 123)
Symmetry-distinct sites (fractional):
Rb: 0.0000 0.0000 0.0000 (multiplicity 1)  8 Ti 3.39, 4 Ga 3.45
Ti: 0.0000 0.5000 0.5000 (multiplicity 2)  2 Ni 2.44
Ga: 0.5000 0.5000 0.0000 (multiplicity 1)  2 Ni 2.35
Ni: 0.5000 0.5000 0.5000 (multiplicity 1)  2 Ga 2.35, 4 Ti 2.44

Calculated values
The formation enthalpy at 0 K is 0.595 eV/atom. For the energy above the lowest structure with this stoichiometry, the calculation gives 0.00 eV/f.u. The energy is -22.6 eV per formula unit.

Entry 14:
A relaxed structure of RbTlGa2Ni. Source: Alexandria via LeMat-Bulk, functional PBE.

Cell lengths 4.8358, 4.8358, 5.3466 Å; angles 90.00, 90.00, 90.00 degrees
With the nearest neighbours (Å) after each atom.
Space group P4/mmm (No. 123)
Symmetry-distinct sites (fractional):
Rb: 0.0000 0.0000 0.0000 (multiplicity 1)  4 Tl 3.42, 8 Ga 3.60
Tl: 0.5000 0.5000 0.0000 (multiplicity 1)  2 Ni 2.67
Ga: 0.0000 0.5000 0.5000 (multiplicity 2)  2 Ni 2.42
Ni: 0.5000 0.5000 0.5000 (multiplicity 1)  4 Ga 2.42, 2 Tl 2.67

Calculated values
The formation enthalpy at 0 K is 0.009 eV/atom. The energy is -15.1 eV per formula unit.

Entry 15:
A relaxed structure of RbYGa2Ni. Source: Alexandria via LeMat-Bulk, functional PBE.

Cell lengths 5.4969, 5.4969, 6.4980 Å; angles 90.00, 90.00, 90.00 degrees
With the nearest neighbours (Å) after each atom.
Space group P4/mmm (No. 123)
Symmetry-distinct sites (fractional):
Rb: 0.0000 0.0000 0.0000 (multiplicity 1)  2 Y 3.25
Y: 0.0000 0.0000 0.5000 (multiplicity 1)  4 Ga 2.75
Ga: 0.0000 0.5000 0.5000 (multiplicity 2)  2 Y 2.75
Ni: 0.5000 0.5000 0.0000 (multiplicity 1)  4 Rb 3.89, 8 Ga 4.26

Calculated values
The formation enthalpy at 0 K is 1.251 eV/atom. The energy is -13.0 eV per formula unit.

Entry 16:
A relaxed structure of RbZn2GaNi. Source: Alexandria via LeMat-Bulk, functional PBE.

Cell lengths 4.8675, 4.8675, 4.6631 Å; angles 90.00, 90.00, 90.00 degrees
With the nearest neighbours (Å) after each atom.
Space group P4/mmm (No. 123)
Symmetry-distinct sites (fractional):
Rb: 0.0000 0.0000 0.0000 (multiplicity 1)  8 Zn 3.37, 4 Ga 3.44
Zn: 0.0000 0.5000 0.5000 (multiplicity 2)  2 Ni 2.43
Ga: 0.5000 0.5000 0.0000 (multiplicity 1)  2 Ni 2.33
Ni: 0.5000 0.5000 0.5000 (multiplicity 1)  2 Ga 2.33, 4 Zn 2.43

Calculated values
The formation enthalpy at 0 K is -0.030 eV/atom. The energy is -12.5 eV per formula unit.

Entry 17:
A relaxed structure of Ga2ReNi. Source: Alexandria via LeMat-Bulk, functional PBE.

Cell lengths 6.6560, 6.6560, 5.3591 Å; angles 90.00, 90.00, 90.00 degrees
With the nearest neighbours (Å) after each atom.
Space group I-42d (No. 122)
Symmetry-distinct sites (fractional):
Ga: 0.2217 0.2500 0.1250 (multiplicity 8)  2 Ni 2.32, 2 Re 2.58
Re: 0.0000 0.0000 0.5000 (multiplicity 4)  4 Ga 2.58, 2 Ni 2.68
Ni: 0.0000 0.0000 0.0000 (multiplicity 4)  4 Ga 2.32

Calculated values
The formation enthalpy at 0 K is 0.373 eV/atom. For the energy above the lowest structure with this stoichiometry, the calculation gives 1.77 eV/f.u. The energy is -22.8 eV per formula unit.

Entry 18:
A relaxed structure of Ga2ReNi. Source: Alexandria via LeMat-Bulk, functional PBE.

Cell lengths 6.0301, 6.0301, 6.0301 Å; angles 90.00, 90.00, 90.00 degrees
With the nearest neighbours (Å) after each atom.
Space group Fm-3m (No. 225)
Symmetry-distinct sites (fractional):
Ga: 0.2500 0.2500 0.2500 (multiplicity 8)  4 Re 2.61, 4 Ni 2.61
Re: 0.0000 0.0000 0.0000 (multiplicity 4)  8 Ga 2.61
Ni: 0.0000 0.0000 0.5000 (multiplicity 4)  8 Ga 2.61

Calculated values
The formation enthalpy at 0 K is 0.028 eV/atom. For the energy above the lowest structure with this stoichiometry, the calculation gives 0.39 eV/f.u. The energy is -24.2 eV per formula unit.

Entry 19:
A relaxed structure of Ga2ReNi. Source: Alexandria via LeMat-Bulk, functional PBE.

Cell lengths 4.1226, 4.1226, 3.2095 Å; angles 90.00, 90.00, 90.00 degrees
With the nearest neighbours (Å) after each atom.
Space group P4/mmm (No. 123)
Symmetry-distinct sites (fractional):
Ga: 0.0000 0.5000 0.0000 (multiplicity 2)  4 Ni 2.61, 4 Re 2.61, 4 Ga 2.92
Re: 0.0000 0.0000 0.5000 (multiplicity 1)  8 Ga 2.61, 4 Ni 2.92
Ni: 0.5000 0.5000 0.5000 (multiplicity 1)  8 Ga 2.61, 4 Re 2.92

Calculated values
The formation enthalpy at 0 K is -0.068 eV/atom. For the energy above the lowest structure with this stoichiometry, the calculation gives 0.00 eV/f.u. The energy is -24.6 eV per formula unit.

Entry 20:
A relaxed structure of GaReNi14. Source: Alexandria via LeMat-Bulk, functional PBE.

Cell lengths 5.0480, 5.0480, 7.0563 Å; angles 90.00, 90.00, 90.00 degrees
With the nearest neighbours (Å) after each atom.
Space group P4/mmm (No. 123)
Symmetry-distinct sites (fractional):
Ga: 0.0000 0.0000 0.0000 (multiplicity 1)  12 Ni 2.52-2.53
Re: 0.5000 0.5000 0.0000 (multiplicity 1)  12 Ni 2.52
Ni: 0.0000 0.0000 0.5000 (multiplicity 1)  12 Ni 2.50-2.52
Ni: 0.0000 0.5000 0.0000 (multiplicity 2)  2 Re 2.52, 2 Ga 2.52, 8 Ni 2.53
Ni: 0.0000 0.5000 0.5000 (multiplicity 2)  12 Ni 2.49-2.52
Ni: 0.2513 0.2513 0.2532 (multiplicity 8)  10 Ni 2.49-2.54, 1 Re 2.52, 1 Ga 2.53
Ni: 0.5000 0.5000 0.5000 (multiplicity 1)  12 Ni 2.49-2.52

Calculated values
The formation enthalpy at 0 K is -0.062 eV/atom. The energy is -97.4 eV per formula unit.